1.
# TiS2NCl

An optimized crystal structure of TiS2NCl (PBE-GGA, Alexandria via LeMat-Bulk).

Cell and atoms, written as CIF:
```
data_TiS2NCl
_cell_length_a 4.564
_cell_length_b 4.564
_cell_length_c 3.668
_cell_angle_alpha 90.00
_cell_angle_beta 90.00
_cell_angle_gamma 90.00
_space_group_name_H-M_alt 'P 4/m m m'
_space_group_IT_number 123
_space_group_name_Hall '-P 4 2'
loop_
_atom_site_label
_atom_site_fract_x
_atom_site_fract_y
_atom_site_fract_z
Ti1 0.000 0.000 0.000
S1 0.000 0.500 0.500
N1 0.500 0.500 0.000
Cl1 0.500 0.500 0.500
```

- M_tot (μB/cell) = 0.00
- raw formation energy (eV per atom) = 1.2320
- polymorph energy (0 for the lowest one) (meV per atom) = 984

2.
# TiS2NCl

An optimized crystal structure of TiS2NCl (PBE-GGA, Alexandria via LeMat-Bulk).

Cell and atoms, written as CIF:
```
data_TiS2NCl
_cell_length_a 4.808
_cell_length_b 4.808
_cell_length_c 3.913
_cell_angle_alpha 90.00
_cell_angle_beta 90.00
_cell_angle_gamma 90.00
_space_group_name_H-M_alt 'P 4/m m m'
_space_group_IT_number 123
_space_group_name_Hall '-P 4 2'
loop_
_atom_site_label
_atom_site_fract_x
_atom_site_fract_y
_atom_site_fract_z
Ti1 0.000 0.000 0.000
S1 0.000 0.500 0.000
N1 0.000 0.000 0.500
Cl1 0.500 0.500 0.500
```

- M_tot (μB/cell) = 1.51
- raw formation energy (eV per atom) = 0.2481
- polymorph energy (0 for the lowest one) (meV per atom) = 0